Density functional theory data (PBE) for an optimized crystal structure of ThBeV. Values from VASP.

Results
The value obtained for the formation energy is 655 meV/atom.

```
&SYSTEM
  ibrav = 0, nat = 6, ntyp = 3
/
ATOMIC_SPECIES
Th 232.04 Th.upf
Be 9.01 Be.upf
V 50.94 V.upf
ATOMIC_POSITIONS angstrom
Th 0.828 0.938 1.378
Th 2.483 2.814 8.702
Be 0.828 2.814 6.560
Be 2.483 0.938 3.520
V 0.828 0.938 5.307
V 2.483 2.814 4.773
CELL_PARAMETERS angstrom
3.311 0.000 0.000
0.000 3.751 0.000
0.000 0.000 10.080
```